(1)
{
  "formula": "SmDyTlPb",
  "functional": "PBE",
  "state": "relaxed",
  "polymorph_energy_mev_per_atom": 0,
  "space_group": "I-4m2 (119)",
  "e_form_ev_per_atom": -0.42,
  "final_energy_ev_per_atom": -4.27,
  "lattice": [[-2.563, 4.052, -1.590], [-4.317, -2.131, 1.528], [3.929, 0.917, 4.027]],
  "species": ["Tl", "Dy", "Sm", "Pb"],
  "frac_coords": [[0.750, 0.250, 0.500], [0.000, 0.000, 0.000], [0.500, 0.500, 0.000], [0.250, 0.750, 0.500]]
}

=====

(2)
{
  "formula": "LiGa4Rh",
  "functional": "PBE",
  "state": "relaxed",
  "polymorph_energy_mev_per_atom": 89,
  "space_group": "C2/m (12)",
  "e_form_ev_per_atom": -0.27,
  "final_energy_ev_per_atom": -3.83,
  "lattice": [[-4.869, -1.574, 1.897], [-2.300, -0.671, -6.461], [3.109, -4.537, -0.636]],
  "species": ["Rh", "Rh", "Ga", "Ga", "Ga", "Ga", "Ga", "Ga", "Ga", "Ga", "Li", "Li"],
  "frac_coords": [[0.000, 0.000, 0.000], [0.500, 0.500, 0.000], [0.751, 0.699, 0.756], [0.251, 0.198, 0.756], [0.749, 0.199, 0.244], [0.751, 0.302, 0.756], [0.249, 0.698, 0.244], [0.249, 0.301, 0.244], [0.749, 0.802, 0.244], [0.251, 0.801, 0.756], [0.500, 0.000, 0.500], [0.000, 0.500, 0.500]]
}

=====

(3)
{
  "formula": "MgNbCu2",
  "functional": "PBE",
  "state": "relaxed",
  "space_group": "P4/mmm (123)",
  "e_form_ev_per_atom": 0.00,
  "final_energy_ev_per_atom": -4.96,
  "lattice": [[2.852, 0.000, 0.000], [0.000, 2.852, 0.000], [0.000, 0.000, 7.503]],
  "species": ["Nb", "Mg", "Cu", "Cu"],
  "frac_coords": [[0.500, 0.500, 0.500], [0.500, 0.500, 0.000], [0.000, 0.000, 0.247], [0.000, 0.000, 0.753]]
}

=====

(4)
{
  "formula": "Er5Cu2Os",
  "functional": "PBE",
  "state": "relaxed",
  "space_group": "I4/mcm (140)",
  "e_form_ev_per_atom": -0.27,
  "final_energy_ev_per_atom": -5.55,
  "lattice": [[6.279, 0.000, -2.964], [-1.399, 6.121, -2.964], [0.423, 0.531, 9.029]],
  "species": ["Er", "Er", "Er", "Er", "Er", "Er", "Er", "Er", "Er", "Er", "Cu", "Cu", "Cu", "Cu", "Os", "Os"],
  "frac_coords": [[0.500, 0.500, 0.000], [0.524, 0.671, 0.695], [0.829, 0.976, 0.305], [0.976, 0.476, 0.305], [0.476, 0.329, 0.305], [0.024, 0.524, 0.695], [0.000, 0.000, 0.000], [0.171, 0.024, 0.695], [0.671, 0.171, 0.695], [0.329, 0.829, 0.305], [0.379, 0.879, 0.000], [0.121, 0.379, 0.000], [0.879, 0.621, 0.000], [0.621, 0.121, 0.000], [0.250, 0.250, 0.500], [0.750, 0.750, 0.500]]
}

=====

(5)
{
  "formula": "Pm6Si2S",
  "functional": "PBE",
  "state": "relaxed",
  "formation_energy_uncorrected_ev_per_atom": -0.68,
  "space_group": "P-62m (189)",
  "final_energy_ev_per_atom": -5.51,
  "lattice": [[-2.601, -1.130, -3.091], [6.314, -1.254, -4.854], [-2.824, -6.008, 4.574]],
  "species": ["Si", "Si", "S", "Pm", "Pm", "Pm", "Pm", "Pm", "Pm"],
  "frac_coords": [[0.000, 0.333, 0.667], [0.000, 0.667, 0.333], [0.500, 0.000, 0.000], [0.500, 0.000, 0.415], [0.500, 0.415, 0.000], [0.000, 0.741, 0.000], [0.000, 0.000, 0.741], [0.500, 0.585, 0.585], [0.000, 0.259, 0.259]]
}

=====

(6)
{
  "formula": "Ac4CoSn",
  "functional": "PBE",
  "state": "relaxed",
  "polymorph_energy_mev_per_atom": 0,
  "space_group": "C2/m (12)",
  "e_form_ev_per_atom": -0.22,
  "final_energy_ev_per_atom": -4.81,
  "lattice": [[6.324, 0.088, -1.928], [-0.987, 6.862, -2.921], [0.222, -0.013, 9.579]],
  "species": ["Sn", "Sn", "Co", "Co", "Ac", "Ac", "Ac", "Ac", "Ac", "Ac", "Ac", "Ac"],
  "frac_coords": [[0.785, 0.804, 0.608], [0.215, 0.196, 0.392], [0.669, 0.474, 0.948], [0.331, 0.526, 0.052], [0.594, 0.369, 0.234], [0.406, 0.631, 0.766], [0.594, 0.865, 0.234], [0.173, 0.696, 0.392], [0.000, 0.242, 0.000], [0.000, 0.758, 0.000], [0.406, 0.135, 0.766], [0.827, 0.304, 0.608]]
}

=====

(7)
{
  "formula": "NpAg3Br2F6",
  "functional": "PBE",
  "state": "relaxed",
  "formation_energy_uncorrected_ev_per_atom": -1.93,
  "space_group": "C2/m (12)",
  "final_energy_ev_per_atom": -4.94,
  "lattice": [[-3.573, 1.720, 3.138], [-0.134, -6.550, 3.437], [5.825, 5.270, 2.308]],
  "species": ["F", "F", "F", "F", "F", "F", "Ag", "Ag", "Ag", "Np", "Br", "Br"],
  "frac_coords": [[0.308, 0.119, 0.237], [0.250, 0.738, 0.884], [0.750, 0.854, 0.116], [0.250, 0.146, 0.884], [0.750, 0.262, 0.116], [0.692, 0.881, 0.763], [0.500, 0.000, 0.500], [0.500, 0.500, 0.500], [0.000, 0.500, 0.000], [0.500, 0.000, 0.000], [0.817, 0.320, 0.640], [0.183, 0.680, 0.360]]
}

=====

(8)
{
  "formula": "PmPrIn4",
  "functional": "PBE",
  "state": "relaxed",
  "polymorph_energy_mev_per_atom": 0,
  "space_group": "Imm2 (44)",
  "e_form_ev_per_atom": -0.48,
  "final_energy_ev_per_atom": -3.89,
  "lattice": [[4.374, 0.000, 1.875], [1.885, 5.894, 1.642], [-0.149, 0.387, 6.388]],
  "species": ["In", "In", "In", "In", "Pr", "Pm"],
  "frac_coords": [[0.841, 0.454, 0.864], [0.841, 0.864, 0.454], [0.160, 0.638, 0.043], [0.160, 0.043, 0.638], [0.557, 0.443, 0.443], [0.441, 0.059, 0.059]]
}

=====

(9)
{
  "formula": "NpUIrOs",
  "functional": "PBE",
  "state": "relaxed",
  "polymorph_energy_mev_per_atom": 164,
  "space_group": "F-43m (216)",
  "e_form_ev_per_atom": -0.10,
  "final_energy_ev_per_atom": -11.18,
  "lattice": [[4.810, 0.000, 0.000], [2.405, 4.166, 0.000], [2.405, 1.389, 3.928]],
  "species": ["Ir", "U", "Np", "Os"],
  "frac_coords": [[0.000, 0.000, 0.000], [0.250, 0.250, 0.250], [0.750, 0.750, 0.750], [0.500, 0.500, 0.500]]
}

=====

(10)
{
  "formula": "Tl2HgBiRh",
  "functional": "PBE",
  "state": "relaxed",
  "polymorph_energy_mev_per_atom": 664,
  "space_group": "P4/mmm (123)",
  "e_form_ev_per_atom": 0.72,
  "final_energy_ev_per_atom": -2.53,
  "lattice": [[5.549, 0.000, 0.000], [0.000, 5.174, 0.000], [0.000, 0.000, 5.549]],
  "species": ["Rh", "Tl", "Tl", "Hg", "Bi"],
  "frac_coords": [[0.000, 0.500, 0.000], [0.000, 0.000, 0.500], [0.500, 0.000, 0.000], [0.000, 0.000, 0.000], [0.500, 0.500, 0.500]]
}

=====

(11)
{
  "formula": "DyMgRh",
  "functional": "PBE",
  "state": "relaxed",
  "space_group": "I4mm (107)",
  "e_form_ev_per_atom": -0.52,
  "final_energy_ev_per_atom": -5.04,
  "lattice": [[-3.228, -0.615, 0.514], [-0.465, -0.303, -3.279], [2.971, -5.145, 1.741]],
  "species": ["Dy", "Mg", "Rh"],
  "frac_coords": [[0.923, 0.923, 0.846], [0.648, 0.648, 0.296], [0.279, 0.279, 0.558]]
}

=====

(12)
{
  "formula": "KMn2Ag",
  "functional": "PBE",
  "state": "relaxed",
  "polymorph_energy_mev_per_atom": 287,
  "space_group": "Pmmm (47)",
  "e_form_ev_per_atom": 0.89,
  "final_energy_ev_per_atom": -4.68,
  "lattice": [[-1.504, 2.560, -0.585], [-0.413, -1.391, -5.023], [-4.648, -2.485, 1.070]],
  "species": ["Mn", "Mn", "K", "Ag"],
  "frac_coords": [[0.000, 0.000, 0.000], [0.500, 0.500, 0.000], [0.000, 0.500, 0.500], [0.500, 0.000, 0.500]]
}

=====

no.,total magnetic moment (Bohr magnetons per cell)
1,0.00
2,0.00
3,0.00
4,0.00
5,1.68
6,0.00
7,2.00
8,0.00
9,5.25
10,0.00
11,0.00
12,7.99